No. 1
Density functional theory data (PBE) for ReNiTe3 after structural relaxation.

Cell: 5.1991 5.1991 5.1991 Å, 90.00 90.00 90.00°
Last column: nearest neighbours and their distance in Å.
Atoms (fractional coordinates):
Re: 0.0000 0.0000 0.0000  6 Te 2.60
Ni: 0.5000 0.5000 0.5000  12 Te 3.68
Te: 0.0000 0.0000 0.5000  2 Re 2.60
Te: 0.0000 0.5000 0.0000  2 Re 2.60
Te: 0.5000 0.0000 0.0000  2 Re 2.60

Results
* formation energy (no corrections): 1177 meV/atom
* energy above the lowest structure with this stoichiometry: 0.0000 eV/atom
* space group: Pm-3m (221)
* crystal system: cubic

***

No. 2
Density functional theory data (PBE) for AcTb2Si after structural relaxation.

Cell: 11.0381 11.0381 11.0381 Å, 20.48 20.48 20.48°
Last column: nearest neighbours and their distance in Å.
Atoms (fractional coordinates):
Ac: 0.0000 0.0000 0.0000  2 Tb 3.75, 6 Ac 3.92
Tb: 0.1158 0.1158 0.1158  3 Si 2.80
Tb: 0.8842 0.8842 0.8842  3 Si 2.80
Si: 0.5000 0.5000 0.5000  6 Tb 2.80

Results
* formation energy (no corrections): -50 meV/atom
* energy above the lowest structure with this stoichiometry: 0.1664 eV/atom
* space group: R-3m (166)
* crystal system: trigonal

***

No. 3
Density functional theory data (PBE) for Th3SbOsS after structural relaxation.

Cell: 7.7993 4.4493 9.9471 Å, 90.00 110.32 90.00°
Last column: nearest neighbours and their distance in Å.
Atoms (fractional coordinates):
Th: 0.0187 0.2500 0.3529  3 Os 2.81-2.94, 1 S 3.11
Th: 0.2350 0.2500 0.9735  3 S 2.81-2.90
Th: 0.4300 0.7500 0.6063  1 S 2.82, 2 Os 2.84
Th: 0.5700 0.2500 0.3937  1 S 2.82, 2 Os 2.84
Th: 0.7650 0.7500 0.0265  3 S 2.81-2.90
Th: 0.9813 0.7500 0.6471  3 Os 2.81-2.94, 1 S 3.11
Sb: 0.2301 0.7500 0.2158  8 Th 3.29-3.65
Sb: 0.7699 0.2500 0.7842  8 Th 3.29-3.65
Os: 0.2272 0.2500 0.6469  5 Th 2.81-2.94, 2 S 3.08
Os: 0.7728 0.7500 0.3531  5 Th 2.81-2.94, 2 S 3.08
S: 0.3746 0.7500 0.8722  5 Th 2.81-3.11, 2 Os 3.08
S: 0.6254 0.2500 0.1278  5 Th 2.81-3.11, 2 Os 3.08

Results
* formation energy (no corrections): -830 meV/atom
* space group: P2_1/m (11)
* crystal system: monoclinic

***

No. 4
Density functional theory data (PBE) for YRhW2 after structural relaxation.

Cell: 3.2655 3.2655 6.8347 Å, 90.00 90.00 90.00°
Last column: nearest neighbours and their distance in Å.
Atoms (fractional coordinates):
Y: 0.0000 0.0000 0.0000  4 Rh 2.95, 4 W 3.07, 4 Y 3.27
Rh: 0.5000 0.5000 0.2676  5 W 2.82-2.99, 4 Y 2.95
W: 0.0000 0.0000 0.5044  4 W 2.68, 4 Rh 2.82
W: 0.5000 0.5000 0.7043  4 W 2.68, 1 Rh 2.99

Results
* energy of formation: 0.050 eV/atom
* energy above the lowest structure with this stoichiometry: 0.0000 eV/atom
* space group: P4mm (99)
* crystal system: tetragonal

***

No. 5
Density functional theory data (PBE) for K4Pr3GaS8 after structural relaxation.

Cell: 8.2683 8.2683 8.8224 Å, 118.08 118.08 59.54°
Last column: nearest neighbours and their distance in Å.
Atoms (fractional coordinates):
K: 0.0000 0.0000 0.0000  6 S 3.27-3.44
K: 0.0000 0.5000 0.0000  6 S 3.19-3.21
K: 0.5000 0.0000 0.0000  6 S 3.19-3.21
K: 0.5000 0.5000 0.0000  6 S 3.20-3.22
Pr: 0.0000 0.0000 0.5000  6 S 2.85-2.89
Pr: 0.0000 0.5000 0.5000  6 S 2.85-2.90
Pr: 0.5000 0.0000 0.5000  6 S 2.85-2.90
Ga: 0.5000 0.5000 0.5000  6 S 2.59-2.79
S: 0.2364 0.2364 0.7117  3 Pr 2.85, 2 K 3.19
S: 0.2639 0.7154 0.6958  1 Ga 2.59, 2 Pr 2.89-2.90
S: 0.2685 0.2685 0.2917  1 Ga 2.79, 2 Pr 2.86
S: 0.2846 0.7361 0.3042  1 Ga 2.59, 2 Pr 2.89-2.90
S: 0.7154 0.2639 0.6958  1 Ga 2.59, 2 Pr 2.89-2.90
S: 0.7315 0.7315 0.7083  1 Ga 2.79, 2 Pr 2.86
S: 0.7361 0.2846 0.3042  1 Ga 2.59, 2 Pr 2.89-2.90
S: 0.7636 0.7636 0.2883  3 Pr 2.85, 2 K 3.19

Results
* formation energy (no corrections): -1521 meV/atom
* space group: C2/m (12)
* crystal system: monoclinic

***

No. 6
Density functional theory data (PBE) for EuAlGa after structural relaxation.

Cell: 5.8726 5.8726 7.5867 Å, 129.51 129.51 46.30°
Last column: nearest neighbours and their distance in Å.
Atoms (fractional coordinates):
Eu: 0.0473 0.0473 0.2995  6 Ga 3.15-3.41, 6 Al 3.18-3.44
Eu: 0.9527 0.9527 0.7005  6 Ga 3.15-3.41, 6 Al 3.18-3.44
Al: 0.3374 0.3374 0.9022  3 Ga 2.69-2.85, 1 Al 2.71
Al: 0.6626 0.6626 0.0978  3 Ga 2.69-2.85, 1 Al 2.71
Ga: 0.3383 0.3383 0.2782  3 Al 2.69-2.85, 1 Ga 2.69
Ga: 0.6617 0.6617 0.7218  3 Al 2.69-2.85, 1 Ga 2.69

Results
* energy of formation: -0.474 eV/atom
* space group: C2/m (12)
* crystal system: monoclinic

***

Ρ / g/cm3: 7.42 6.60 10.67 12.75 3.44 6.05